DFT (PBE) results for TmBeGa2Ru2 after structural relaxation.

Its calculated formation energy is -0.42 eV/atom. The total magnetic moment is 0.000 μB per atom.

The space group is P4/mmm (No. 123) and the conventional cell measures 4.284, 4.284 and 5.324 Å, with angles of 90.00, 90.00 and 90.00 degrees. Symmetry generates all atoms from Tm at (0.000, 0.000, 0.000), Be at (0.000, 0.000, 0.500), Ga at (0.500, 0.500, 0.236) and Ru at (0.000, 0.500, 0.500).